# K3YTl2O6

A relaxed K3YTl2O6 crystal (PBE-GGA, Alexandria via LeMat-Bulk).

Cell and atoms, written as POSCAR:
```
K3YTl2O6
1.0
6.041 -0.002 0.002
-3.021 5.231 0.002
-1.005 -1.740 6.259
O K Tl Y
6 3 2 1
Direct
0.737 0.737 0.197 O
0.607 0.935 0.804 O
0.935 0.607 0.804 O
0.263 0.263 0.803 O
0.065 0.393 0.196 O
0.393 0.065 0.196 O
0.171 0.829 0.500 K
0.829 0.171 0.500 K
0.500 0.500 0.500 K
0.334 0.666 0.000 Tl
0.666 0.334 0.000 Tl
0.000 0.000 0.000 Y
```

Output
Calculated total energy   -5.275 eV per atom
Crystal system   monoclinic
SG   C2/m
Formation energy without anion corrections   -19.06 eV per formula unit


# K2TlZn2O4

A relaxed K2TlZn2O4 crystal (PBE-GGA, Alexandria via LeMat-Bulk).

Cell and atoms, written as POSCAR:
```
K2TlZn2O4
1.0
3.470 0.000 0.000
-1.735 8.164 1.453
0.000 -1.535 5.805
K O Zn Tl
2 4 2 1
Direct
0.154 0.307 0.583 K
0.846 0.693 0.417 K
0.419 0.839 0.130 O
0.225 0.449 0.193 O
0.775 0.551 0.807 O
0.581 0.161 0.870 O
0.314 0.628 0.954 Zn
0.686 0.372 0.046 Zn
0.000 0.000 0.000 Tl
```

Output
Calculated total energy   -4.139 eV per atom
Crystal system   monoclinic
SG   C2/m
DOS(E_F)   1.50 states/eV/f.u.
Formation energy without anion corrections   -10.31 eV per formula unit


# K4Tl3ZnO8

A relaxed K4Tl3ZnO8 crystal (PBE-GGA, Alexandria via LeMat-Bulk).

Cell and atoms, written as POSCAR:
```
K4Tl3ZnO8
1.0
6.695 0.000 0.000
0.000 7.298 0.221
-3.347 -3.476 5.100
K O Tl Zn
4 8 3 1
Direct
0.500 0.000 0.000 K
0.000 0.000 0.000 K
0.000 0.000 0.500 K
0.500 0.000 0.500 K
0.246 0.703 0.492 O
0.244 0.316 0.026 O
0.756 0.684 0.974 O
0.218 0.684 0.974 O
0.265 0.299 0.530 O
0.782 0.316 0.026 O
0.735 0.701 0.470 O
0.754 0.297 0.508 O
0.500 0.500 0.000 Tl
0.000 0.500 0.500 Tl
0.500 0.500 0.500 Tl
0.000 0.500 0.000 Zn
```

Output
Calculated total energy   -4.292 eV per atom
Crystal system   monoclinic
SG   C2/m
DOS(E_F)   10.27 states/eV/f.u.
Formation energy without anion corrections   -16.24 eV per formula unit


# K2Zr3TlO8

A relaxed K2Zr3TlO8 crystal (PBE-GGA, Alexandria via LeMat-Bulk).

Cell and atoms, written as POSCAR:
```
K2Zr3TlO8
1.0
6.625 0.000 0.000
3.313 5.738 0.000
3.313 1.913 6.483
Zr O K Tl
3 8 2 1
Direct
0.006 0.497 0.999 Zr
0.497 0.497 0.999 Zr
0.497 0.006 0.999 Zr
0.238 0.682 0.842 O
0.718 0.718 0.847 O
0.274 0.274 0.178 O
0.755 0.308 0.182 O
0.755 0.755 0.182 O
0.682 0.238 0.842 O
0.308 0.755 0.182 O
0.238 0.238 0.842 O
0.130 0.130 0.610 K
0.498 0.498 0.507 K
0.897 0.897 0.310 Tl
```

Output
Calculated total energy   -7.500 eV per atom
Crystal system   trigonal
SG   R3m
DOS(E_F)   1.81 states/eV/f.u.
Formation energy without anion corrections   -35.13 eV per formula unit


# K2ZrTlO4

A relaxed K2ZrTlO4 crystal (PBE-GGA, Alexandria via LeMat-Bulk).

Cell and atoms, written as POSCAR:
```
K2ZrTlO4
1.0
-1.801 -4.123 -4.654
-1.324 -0.611 6.307
-2.624 5.811 1.121
O Zr K Tl
4 1 2 1
Direct
0.104 0.186 0.642 O
0.896 0.538 0.082 O
0.544 0.358 0.462 O
0.456 0.918 0.814 O
0.500 0.250 0.750 Zr
0.500 0.750 0.250 K
0.000 0.000 0.000 K
0.000 0.500 0.500 Tl
```

Output
Calculated total energy   -5.996 eV per atom
Crystal system   tetragonal
SG   I-4
DOS(E_F)   3.89 states/eV/f.u.
Formation energy without anion corrections   -15.02 eV per formula unit


# KTm2O

A relaxed KTm2O crystal (PBE-GGA, Alexandria via LeMat-Bulk).

Cell and atoms, written as POSCAR:
```
KTm2O
1.0
3.494 0.000 0.000
1.747 3.026 0.000
1.747 1.009 9.880
Tm K O
2 1 1
Direct
0.123 0.123 0.630 Tm
0.877 0.877 0.370 Tm
0.000 0.000 0.000 K
0.500 0.500 0.500 O
```

Output
Calculated total energy   -4.810 eV per atom
Crystal system   trigonal
SG   R-3m
DOS(E_F)   3.38 states/eV/f.u.
Formation energy without anion corrections   -4.24 eV per formula unit


# K3TmO3

A relaxed K3TmO3 crystal (PBE-GGA, Alexandria via LeMat-Bulk).

Cell and atoms, written as POSCAR:
```
K3TmO3
1.0
-2.060 -6.158 2.827
6.384 0.165 -3.061
2.290 2.578 6.053
O Tm K
6 2 6
Direct
0.826 0.544 0.732 O
0.105 0.105 0.837 O
0.174 0.456 0.268 O
0.456 0.174 0.268 O
0.544 0.826 0.732 O
0.895 0.895 0.163 O
0.182 0.182 0.148 Tm
0.818 0.818 0.852 Tm
0.363 0.363 0.637 K
0.209 0.791 0.500 K
0.741 0.259 0.000 K
0.259 0.741 0.000 K
0.637 0.637 0.363 K
0.791 0.209 0.500 K
```

Output
Calculated total energy   -5.225 eV per atom
Crystal system   monoclinic
SG   C2/m
DOS(E_F)   0.00 states/eV/f.u.
Formation energy without anion corrections   -13.94 eV per formula unit


# KTmO2

A relaxed KTmO2 crystal (PBE-GGA, Alexandria via LeMat-Bulk).

Cell and atoms, written as POSCAR:
```
KTmO2
1.0
6.548 0.002 0.001
5.653 3.304 0.001
5.653 1.532 2.928
O K Tm
2 1 1
Direct
0.772 0.772 0.772 O
0.228 0.228 0.228 O
0.000 0.000 0.000 K
0.500 0.500 0.500 Tm
```

Output
Calculated total energy   -6.692 eV per atom
Crystal system   trigonal
SG   R-3m
DOS(E_F)   0.00 states/eV/f.u.
Formation energy without anion corrections   -11.28 eV per formula unit